No. 1
Entry from the Alexandria database: crystalline CsNaSeO4 at its relaxed geometry (PBE).

Unit cell a=5.993 b=6.283 c=7.823 alpha=90.00 beta=107.25 gamma=90.00
Space group P2_1/m (No. 11)
Inequivalent atoms, fractional coordinates:
Cs1 0.202 0.250 0.434 x2
Na1 0.300 0.250 0.972 x2
Se1 0.252 0.750 0.157 x2
O1 0.068 0.750 0.950 x2
O2 0.097 0.750 0.305 x2
O3 0.431 0.537 0.189 x4

The value obtained for the density is 3.53 Mg/m³. The value obtained for the uncorrected formation energy is -1.363 eV/atom. The density of states at the Fermi level is 0.00 states/eV/atom. Its crystal system is monoclinic.



No. 2
Entry from the Alexandria database: crystalline YGa2Sb at its relaxed geometry (PBE).

Unit cell a=4.544 b=4.544 c=4.345 alpha=90.00 beta=90.00 gamma=90.00
Space group P4/mmm (No. 123)
Inequivalent atoms, fractional coordinates:
Y1 0.000 0.000 0.000 x1
Ga1 0.000 0.500 0.500 x2
Sb1 0.500 0.500 0.000 x1

The value obtained for the density is 6.48 Mg/m³. The value obtained for the uncorrected formation energy is -0.509 eV/atom. The density of states at the Fermi level is 0.21 states/eV/atom. Its crystal system is tetragonal. For the offset from the most stable computed form, the calculation gives 0 meV/atom.



No. 3
Entry from the Alexandria database: crystalline Y2TiCd at its relaxed geometry (PBE).

Unit cell a=3.434 b=3.434 c=8.605 alpha=90.00 beta=90.00 gamma=90.00
Space group P4/mmm (No. 123)
Inequivalent atoms, fractional coordinates:
Y1 0.000 0.000 0.242 x2
Ti1 0.500 0.500 0.000 x1
Cd1 0.500 0.500 0.500 x1

The value obtained for the density is 5.53 Mg/m³. The density of states at the Fermi level is 1.05 states/eV/atom. The value obtained for the final energy is -5.47 eV/atom. Its crystal system is tetragonal.